Here is an optimized crystal structure of Mg2TlReP from Alexandria via LeMat-Bulk. Energies are from PBE.

Summary:
* E: -3.4797 eV per atom
* ΔH_f (0 K): 1203 meV per atom

a b c (Å): 5.137 5.137 5.218
angles (deg): 90.00 90.00 90.00
Positions (direct):
Mg1 0.000 0.500 0.000
Mg2 0.500 0.000 0.000
Tl1 0.000 0.000 0.500
Re1 0.000 0.000 0.000
P1 0.500 0.500 0.500